A plane-wave DFT calculation with PBE was carried out for a relaxed HoTiNiIr crystal.

Cell and atoms, written as POSCAR:
```
HoTiNiIr
1.0
-2.572 0.158 -3.785
1.963 -0.381 -4.119
-0.634 -3.785 -2.497
Ni Ti Ir Ho
1 1 1 1
Direct
0.500 0.500 0.500 Ni
0.250 0.250 0.250 Ti
0.000 0.000 0.000 Ir
0.750 0.750 0.750 Ho
```

Values from the calculation:
Total magnetization = 0.00 μB/cell
Volume = 67.9 Å³/f.u.
Energy of formation from the pure elements = -506 meV/atom

A plane-wave DFT calculation with PBE was carried out for a relaxed Th2Ni12SnP3 crystal.

Cell and atoms, written as POSCAR:
```
Th2Ni12SnP3
1.0
7.320 -0.081 -0.057
3.545 6.405 -0.057
3.545 2.063 6.064
Ni Th P Sn
12 2 3 1
Direct
0.655 0.655 0.110 Ni
0.862 0.407 0.862 Ni
0.862 0.862 0.407 Ni
0.345 0.890 0.345 Ni
0.655 0.110 0.655 Ni
0.890 0.345 0.345 Ni
0.138 0.138 0.593 Ni
0.407 0.862 0.862 Ni
0.593 0.138 0.138 Ni
0.110 0.655 0.655 Ni
0.138 0.593 0.138 Ni
0.345 0.345 0.890 Ni
0.608 0.608 0.608 Th
0.392 0.392 0.392 Th
0.000 0.000 0.500 P
0.500 0.000 0.000 P
0.000 0.500 0.000 P
0.000 0.000 0.000 Sn
```

Values from the calculation:
Total magnetization = 0.00 μB/cell
Volume = 287.8 Å³/f.u.
Energy of formation from the pure elements = -135 meV/atom

A plane-wave DFT calculation with PBE was carried out for a relaxed K2ZrRe crystal.

Cell and atoms, written as POSCAR:
```
K2ZrRe
1.0
3.296 0.000 0.000
0.000 4.685 0.000
0.000 0.000 6.451
Zr Re K
1 1 2
Direct
0.000 0.500 0.500 Zr
0.500 0.000 0.500 Re
0.500 0.500 0.000 K
0.000 0.000 0.000 K
```

Values from the calculation:
Total magnetization = 0.00 μB/cell
Volume = 99.6 Å³/f.u.
Energy of formation from the pure elements = 1163 meV/atom
Excess energy over the best structure of this formula in the dataset = 516 meV per atom

A plane-wave DFT calculation with PBE was carried out for a relaxed CaDy2ZnHg4 crystal.

Cell and atoms, written as POSCAR:
```
CaDy2ZnHg4
1.0
5.136 0.000 0.000
2.568 4.448 0.000
2.568 1.483 8.496
Ca Hg Dy Zn
1 4 2 1
Direct
0.000 0.000 0.000 Ca
0.626 0.626 0.122 Hg
0.124 0.124 0.629 Hg
0.876 0.876 0.371 Hg
0.374 0.374 0.878 Hg
0.756 0.756 0.731 Dy
0.244 0.244 0.269 Dy
0.500 0.500 0.500 Zn
```

Values from the calculation:
Total magnetization = 0.00 μB/cell
Volume = 194.1 Å³/f.u.
Energy of formation from the pure elements = -394 meV/atom

Question: Which value of total magnetization does entry 2 give?
Answer: 0.00 μB/cell

Question: What is the formula in the third record?
Answer: K2ZrRe

Question: The lowest volume belongs to which entry?
Answer: HoTiNiIr